Entry 1:
! AlHgPb2 | Alexandria | GGA-PBE | relaxed; values from VASP
&SYSTEM
  ibrav = 0, nat = 4, ntyp = 3
/
ATOMIC_SPECIES
Pb 207.20 Pb.upf
Hg 200.59 Hg.upf
Al 26.98 Al.upf
CELL_PARAMETERS angstrom
5.7922 0.2387 0.0000
1.6441 5.5591 0.0000
-3.7182 -2.8989 3.3732
ATOMIC_POSITIONS crystal
Pb 0.0000 0.0000 0.0000
Pb 0.5000 0.5000 0.0000
Hg 0.7500 0.2500 0.5000
Al 0.2500 0.7500 0.5000
! M_tot in μB/cell: 0.00
! Energy of formation in meV per atom: 177

Entry 2:
! Y2SCl | Alexandria | GGA-PBE | relaxed; values from VASP
&SYSTEM
  ibrav = 0, nat = 4, ntyp = 3
/
ATOMIC_SPECIES
Y 88.91 Y.upf
S 32.06 S.upf
Cl 35.45 Cl.upf
CELL_PARAMETERS angstrom
0.5684 -4.6237 1.3376
-2.7466 -3.4564 -2.0000
1.9721 -3.1869 -3.0733
ATOMIC_POSITIONS crystal
Y 0.2500 0.2500 0.2500
Y 0.7500 0.7500 0.7500
S 0.0000 0.0000 0.0000
Cl 0.5000 0.5000 0.5000
! M_tot in μB/cell: 0.00
! E_form (uncorrected) in eV/atom: -1.35

Entry 3:
! Dy8Er3Sc | Alexandria | GGA-PBE | relaxed; values from VASP
&SYSTEM
  ibrav = 0, nat = 12, ntyp = 3
/
ATOMIC_SPECIES
Dy 162.50 Dy.upf
Er 167.26 Er.upf
Sc 44.96 Sc.upf
CELL_PARAMETERS angstrom
6.6151 0.0000 -3.7421
-2.1168 6.2673 -3.7421
0.8297 1.1560 9.1848
ATOMIC_POSITIONS crystal
Dy 0.8767 0.3694 0.2460
Dy 0.3694 0.3694 0.2460
Dy 0.1233 0.1233 0.7540
Dy 0.6306 0.1233 0.7540
Dy 0.3694 0.8767 0.2460
Dy 0.8767 0.8767 0.2460
Dy 0.6306 0.6306 0.7540
Dy 0.1233 0.6306 0.7540
Er 0.2500 0.7500 0.5000
Er 0.5000 0.5000 0.0000
Er 0.7500 0.2500 0.5000
Sc 0.0000 0.0000 0.0000
! M_tot in μB/cell: 0.01
! Energy of formation in meV per atom: 717

Entry 4:
! YAlCr2 | Alexandria | GGA-PBE | relaxed; values from VASP
&SYSTEM
  ibrav = 0, nat = 4, ntyp = 3
/
ATOMIC_SPECIES
Y 88.91 Y.upf
Cr 52.00 Cr.upf
Al 26.98 Al.upf
CELL_PARAMETERS angstrom
-3.0395 4.4870 0.2500
-4.0902 -0.0376 3.5641
5.3728 -0.4351 -0.6151
ATOMIC_POSITIONS crystal
Y 0.5132 0.5132 0.0000
Cr 0.9719 0.9719 0.0000
Cr 0.7849 0.2848 0.5000
Al 0.2300 0.7300 0.5000
! M_tot in μB/cell: 0.24
! Energy of formation in meV per atom: 238

Entry 5:
! Zr2Ag2Pb | Alexandria | GGA-PBE | relaxed; values from VASP
&SYSTEM
  ibrav = 0, nat = 5, ntyp = 3
/
ATOMIC_SPECIES
Pb 207.20 Pb.upf
Zr 91.22 Zr.upf
Ag 107.87 Ag.upf
CELL_PARAMETERS angstrom
-2.9592 0.3122 2.4863
-0.4528 -3.8508 -0.0554
3.1660 -2.4267 7.0967
ATOMIC_POSITIONS crystal
Pb 0.0000 0.0000 0.0000
Zr 0.4019 0.4019 0.1962
Zr 0.5981 0.5981 0.8038
Ag 0.7500 0.2500 0.5000
Ag 0.2500 0.7500 0.5000
! M_tot in μB/cell: 1.97
! Energy of formation in meV per atom: 239

Entry 6:
! Ga2GeBr2Cl6 | Alexandria | GGA-PBE | relaxed; values from VASP
&SYSTEM
  ibrav = 0, nat = 11, ntyp = 4
/
ATOMIC_SPECIES
Ga 69.72 Ga.upf
Ge 72.64 Ge.upf
Br 79.90 Br.upf
Cl 35.45 Cl.upf
CELL_PARAMETERS angstrom
6.4534 0.0000 0.0000
-3.2267 5.5888 0.0000
0.0000 0.0000 11.5408
ATOMIC_POSITIONS crystal
Ga 0.3333 0.6667 0.7881
Ga 0.6667 0.3333 0.2119
Ge 0.0000 0.0000 0.0000
Br 0.3333 0.6667 0.5908
Br 0.6667 0.3333 0.4092
Cl 0.3340 0.3437 0.8616
Cl 0.0097 0.6660 0.8616
Cl 0.6563 0.9903 0.8616
Cl 0.6660 0.6563 0.1384
Cl 0.9903 0.3340 0.1384
Cl 0.3437 0.0097 0.1384
! M_tot in μB/cell: 0.00
! E_form (uncorrected) in eV/atom: -0.94

Entry 7:
! U2BiSe6 | Alexandria | GGA-PBE | relaxed; values from VASP
&SYSTEM
  ibrav = 0, nat = 18, ntyp = 3
/
ATOMIC_SPECIES
U 238.03 U.upf
Bi 208.98 Bi.upf
Se 78.96 Se.upf
CELL_PARAMETERS angstrom
6.6929 0.0000 0.0000
0.0000 6.6929 0.0000
0.0000 0.0000 12.7166
ATOMIC_POSITIONS crystal
U 0.5000 0.5000 0.3321
U 0.5000 0.5000 0.6679
U 0.0000 0.0000 0.1679
U 0.0000 0.0000 0.8321
Bi 0.5000 0.5000 0.0000
Bi 0.0000 0.0000 0.5000
Se 0.7017 0.7017 0.1758
Se 0.7017 0.7017 0.8242
Se 0.6874 0.6874 0.5000
Se 0.8126 0.1874 0.0000
Se 0.7983 0.2017 0.3242
Se 0.7983 0.2017 0.6758
Se 0.2017 0.7983 0.3242
Se 0.2017 0.7983 0.6758
Se 0.1874 0.8126 0.0000
Se 0.3126 0.3126 0.5000
Se 0.2983 0.2983 0.1758
Se 0.2983 0.2983 0.8242
! M_tot in μB/cell: 6.00
! E_form (uncorrected) in eV/atom: -0.80

Entry 8:
! PrEuGa2 | Alexandria | GGA-PBE | relaxed; values from VASP
&SYSTEM
  ibrav = 0, nat = 4, ntyp = 3
/
ATOMIC_SPECIES
Eu 151.96 Eu.upf
Pr 140.91 Pr.upf
Ga 69.72 Ga.upf
CELL_PARAMETERS angstrom
-1.6113 -4.9372 -0.9886
-0.7093 -3.3975 3.9879
-4.8837 -1.5073 1.3515
ATOMIC_POSITIONS crystal
Eu 0.0000 0.0000 0.0000
Pr 0.5000 0.5000 0.5000
Ga 0.2500 0.2500 0.2500
Ga 0.7500 0.7500 0.7500
! M_tot in μB/cell: 7.34
! Energy of formation in meV per atom: -477

Entry 9:
! Cs2AgF3 | Alexandria | GGA-PBE | relaxed; values from VASP
&SYSTEM
  ibrav = 0, nat = 12, ntyp = 3
/
ATOMIC_SPECIES
Cs 132.91 Cs.upf
Ag 107.87 Ag.upf
F 19.00 F.upf
CELL_PARAMETERS angstrom
7.2675 0.7788 0.5548
1.6563 7.1546 0.5704
1.6563 2.8763 6.5758
ATOMIC_POSITIONS crystal
Cs 0.6821 0.1876 0.5000
Cs 0.1821 0.5000 0.1876
Cs 0.8179 0.5000 0.8124
Cs 0.3179 0.8124 0.5000
Ag 0.7500 0.9401 0.0599
Ag 0.2500 0.0599 0.9401
F 0.2500 0.3907 0.6093
F 0.7500 0.6093 0.3907
F 0.9472 0.8323 0.8243
F 0.5528 0.1757 0.1677
F 0.4472 0.8243 0.8323
F 0.0528 0.1677 0.1757
! M_tot in μB/cell: 0.00
! E_form (uncorrected) in eV/atom: -2.10

Entry 10:
! CePr2PbN | Alexandria | GGA-PBE | relaxed; values from VASP
&SYSTEM
  ibrav = 0, nat = 5, ntyp = 4
/
ATOMIC_SPECIES
Ce 140.12 Ce.upf
Pr 140.91 Pr.upf
Pb 207.20 Pb.upf
N 14.01 N.upf
CELL_PARAMETERS angstrom
4.8575 0.0000 0.0000
0.0000 5.1297 0.0000
0.0000 0.0000 5.1297
ATOMIC_POSITIONS crystal
Ce 0.5000 0.0000 0.0000
Pr 0.0000 0.0000 0.5000
Pr 0.0000 0.5000 0.0000
Pb 0.5000 0.5000 0.5000
N 0.0000 0.0000 0.0000
! M_tot in μB/cell: 0.91
! E_form (uncorrected) in eV/atom: -0.85

Entry 11:
! CaSi4Pt12 | Alexandria | GGA-PBE | relaxed; values from VASP
&SYSTEM
  ibrav = 0, nat = 17, ntyp = 3
/
ATOMIC_SPECIES
Ca 40.08 Ca.upf
Si 28.09 Si.upf
Pt 195.08 Pt.upf
CELL_PARAMETERS angstrom
-5.2165 -4.8717 -1.4212
4.2755 -2.5086 5.3284
-3.0427 6.2746 2.0822
ATOMIC_POSITIONS crystal
Ca 0.0000 0.0000 0.0000
Si 0.0000 0.5000 0.0000
Si 0.5000 0.0000 0.0000
Si 0.5000 0.5000 0.5000
Si 0.0000 0.0000 0.5000
Pt 0.8379 0.3411 0.1790
Pt 0.3411 0.5032 0.1621
Pt 0.8210 0.1621 0.6589
Pt 0.3411 0.1790 0.8379
Pt 0.1790 0.8379 0.3411
Pt 0.6589 0.4968 0.8379
Pt 0.5032 0.1621 0.3411
Pt 0.4968 0.8379 0.6589
Pt 0.6589 0.8210 0.1621
Pt 0.8379 0.6589 0.4968
Pt 0.1621 0.3411 0.5032
Pt 0.1621 0.6589 0.8210
! M_tot in μB/cell: 0.00
! E_form (uncorrected) in eV/atom: -0.42

Entry 12:
! KU2S7 | Alexandria | GGA-PBE | relaxed; values from VASP
&SYSTEM
  ibrav = 0, nat = 10, ntyp = 3
/
ATOMIC_SPECIES
K 39.10 K.upf
U 238.03 U.upf
S 32.06 S.upf
CELL_PARAMETERS angstrom
5.1321 0.0000 0.0000
0.0000 7.4863 0.0832
0.0000 -3.3032 6.7186
ATOMIC_POSITIONS crystal
K 0.0000 0.0000 0.0000
U 0.5000 0.7056 0.2944
U 0.5000 0.2944 0.7056
S 0.0000 0.7089 0.2911
S 0.0000 0.2911 0.7089
S 0.5000 0.0697 0.3252
S 0.5000 0.9303 0.6748
S 0.5000 0.3252 0.0697
S 0.5000 0.6748 0.9303
S 0.5000 0.5000 0.5000
! M_tot in μB/cell: 0.00
! E_form (uncorrected) in eV/atom: -1.01